# BaSrSc2

A geometry-optimized BaSrSc2 structure (PBEsol, Alexandria).

Unit cell a=6.7940 b=6.7940 c=6.2349 alpha=110.13 beta=110.13 gamma=31.75
Element x y z (fractional)
Ba (0.0000, 0.0000, 0.0000)
Sr (0.7912, 0.7912, 0.3623)
Sc (0.2405, 0.2405, 0.8155)
Sc (0.5505, 0.5505, 0.5433)

Summary:
Size of the total moment   0.001 μB per formula unit
Energy relative to the lowest polymorph listed for this composition   0.0 kJ per mole of atoms
DOS(E_F)   1.7516 states/eV per atom
Calculated volume   141 Å³ per cell
Energy of formation   0.337 eV per atom